Record 1
A plane-wave DFT calculation with GGA-PBE was carried out for an optimized crystal structure of La4AlGa.

a = 3.682 Å, b = 6.072 Å, c = 8.744 Å
α = 101.35°, β = 77.84°, γ = 72.35°
Sites, in units of the cell vectors:
La1 0.827 0.524 0.821
La2 0.320 0.035 0.326
La3 0.173 0.476 0.179
La4 0.680 0.965 0.674
Al1 0.000 0.000 0.000
Ga1 0.500 0.500 0.500

Energy above the most stable polymorph in this dataset   0.000 eV/atom
E   -4.72 eV per atom
Energy of formation from the pure elements   -0.306 eV per atom

***

Record 2
A plane-wave DFT calculation with GGA-PBE was carried out for an optimized crystal structure of HoErTlPt.

a = 5.118 Å, b = 5.118 Å, c = 5.118 Å
α = 60.00°, β = 60.00°, γ = 60.00°
Sites, in units of the cell vectors:
Tl1 0.250 0.250 0.250
Ho1 0.000 0.000 0.000
Pt1 0.750 0.750 0.750
Er1 0.500 0.500 0.500

E   -5.09 eV per atom
Energy of formation from the pure elements   -0.708 eV per atom

***

Record 3
A plane-wave DFT calculation with GGA-PBE was carried out for an optimized crystal structure of CsHg2BrO2.

a = 6.984 Å, b = 8.151 Å, c = 7.869 Å
α = 120.87°, β = 90.00°, γ = 90.00°
Sites, in units of the cell vectors:
Cs1 0.250 0.301 0.892
Cs2 0.750 0.699 0.108
Hg1 0.250 0.125 0.262
Hg2 0.250 0.739 0.790
Hg3 0.750 0.875 0.738
Hg4 0.750 0.261 0.210
Br1 0.750 0.139 0.652
Br2 0.250 0.861 0.348
O1 0.465 0.277 0.192
O2 0.035 0.277 0.192
O3 0.965 0.723 0.808
O4 0.535 0.723 0.808

E   -2.80 eV per atom
Raw formation energy   -624 meV per atom

***

Record 4
A plane-wave DFT calculation with GGA-PBE was carried out for an optimized crystal structure of LaY3Cd4.

a = 5.346 Å, b = 7.684 Å, c = 10.689 Å
α = 90.00°, β = 90.00°, γ = 90.00°
Sites, in units of the cell vectors:
Y1 0.000 0.000 0.000
Y2 0.000 0.000 0.500
Y3 0.500 0.000 0.750
Y4 0.500 0.000 0.250
Y5 0.500 0.500 0.750
Y6 0.500 0.500 0.250
Cd1 0.500 0.762 0.000
Cd2 0.500 0.762 0.500
Cd3 0.500 0.238 0.000
Cd4 0.500 0.238 0.500
Cd5 0.000 0.762 0.750
Cd6 0.000 0.762 0.250
Cd7 0.000 0.238 0.250
Cd8 0.000 0.238 0.750
La1 0.000 0.500 0.000
La2 0.000 0.500 0.500

E   -3.83 eV per atom
Energy of formation from the pure elements   -0.336 eV per atom

***

Record 5
A plane-wave DFT calculation with GGA-PBE was carried out for an optimized crystal structure of Th2SiPt6.

a = 5.746 Å, b = 5.706 Å, c = 6.207 Å
α = 77.84°, β = 90.00°, γ = 120.23°
Sites, in units of the cell vectors:
Th1 0.642 0.284 0.154
Th2 0.358 0.716 0.846
Si1 0.000 0.000 0.000
Pt1 0.879 0.264 0.693
Pt2 0.875 0.751 0.706
Pt3 0.385 0.264 0.693
Pt4 0.121 0.736 0.307
Pt5 0.125 0.249 0.294
Pt6 0.615 0.736 0.307

E   -7.36 eV per atom
Raw formation energy   -1079 meV per atom

***

Record 6
A plane-wave DFT calculation with GGA-PBE was carried out for an optimized crystal structure of Ce2PuHg5.

a = 5.323 Å, b = 5.323 Å, c = 8.387 Å
α = 108.50°, β = 108.50°, γ = 90.00°
Sites, in units of the cell vectors:
Ce1 0.737 0.737 0.475
Ce2 0.263 0.263 0.525
Pu1 0.000 0.000 0.000
Hg1 0.500 0.500 0.000
Hg2 0.121 0.621 0.243
Hg3 0.621 0.121 0.243
Hg4 0.879 0.379 0.757
Hg5 0.379 0.879 0.757

E   -3.68 eV per atom
Energy of formation from the pure elements   -0.212 eV per atom

***

Record 7
A plane-wave DFT calculation with GGA-PBE was carried out for an optimized crystal structure of SmZrCd2.

a = 3.643 Å, b = 3.643 Å, c = 7.413 Å
α = 90.00°, β = 90.00°, γ = 90.00°
Sites, in units of the cell vectors:
Zr1 0.500 0.500 0.000
Sm1 0.500 0.500 0.500
Cd1 0.000 0.000 0.776
Cd2 0.000 0.000 0.224

E   -3.93 eV per atom
Energy of formation from the pure elements   -0.155 eV per atom

***

Record 8
A plane-wave DFT calculation with GGA-PBE was carried out for an optimized crystal structure of SrHgW2.

a = 2.800 Å, b = 5.316 Å, c = 5.785 Å
α = 90.00°, β = 90.00°, γ = 90.00°
Sites, in units of the cell vectors:
Hg1 0.500 0.500 0.250
Sr1 0.500 0.500 0.750
W1 0.000 0.000 0.976
W2 0.000 0.000 0.524

E   -5.75 eV per atom
Energy of formation from the pure elements   1.222 eV per atom

***

Record 9
A plane-wave DFT calculation with GGA-PBE was carried out for an optimized crystal structure of PrHoMgZn.

a = 5.277 Å, b = 5.277 Å, c = 5.277 Å
α = 60.00°, β = 60.00°, γ = 60.00°
Sites, in units of the cell vectors:
Pr1 0.250 0.250 0.250
Zn1 0.000 0.000 0.000
Mg1 0.500 0.500 0.500
Ho1 0.750 0.750 0.750

Energy above the most stable polymorph in this dataset   0.035 eV/atom
E   -3.23 eV per atom
Energy of formation from the pure elements   -0.171 eV per atom

***

Record 10
A plane-wave DFT calculation with GGA-PBE was carried out for an optimized crystal structure of Ho8Si3Te4Pb.

a = 8.511 Å, b = 8.627 Å, c = 8.512 Å
α = 119.56°, β = 119.99°, γ = 90.00°
Sites, in units of the cell vectors:
Ho1 0.248 0.725 0.977
Ho2 0.248 0.724 0.495
Ho3 0.261 0.284 0.522
Ho4 0.730 0.725 0.977
Ho5 0.270 0.275 0.023
Ho6 0.739 0.716 0.478
Ho7 0.752 0.276 0.505
Ho8 0.752 0.275 0.023
Si1 0.500 0.500 0.000
Si2 0.500 0.500 0.500
Si3 0.000 0.500 0.500
Te1 0.500 0.000 0.000
Te2 0.500 0.000 0.500
Te3 0.000 0.000 0.000
Te4 0.000 0.000 0.500
Pb1 0.000 0.500 0.000

E   -5.35 eV per atom
Raw formation energy   -1027 meV per atom

***

Record 11
A plane-wave DFT calculation with GGA-PBE was carried out for an optimized crystal structure of Pa2TiH.

a = 3.018 Å, b = 3.018 Å, c = 7.612 Å
α = 90.00°, β = 90.00°, γ = 90.00°
Sites, in units of the cell vectors:
H1 0.500 0.500 0.000
Pa1 0.000 0.000 0.805
Pa2 0.000 0.000 0.195
Ti1 0.500 0.500 0.500

Energy above the most stable polymorph in this dataset   0.158 eV/atom
E   -7.44 eV per atom

***

Record 12
A plane-wave DFT calculation with GGA-PBE was carried out for an optimized crystal structure of SrUS4.

a = 6.244 Å, b = 6.244 Å, c = 7.512 Å
α = 90.00°, β = 90.00°, γ = 90.00°
Sites, in units of the cell vectors:
Sr1 0.000 0.000 0.500
Sr2 0.500 0.500 0.500
U1 0.500 0.500 0.000
U2 0.000 0.000 0.000
S1 0.250 0.750 0.785
S2 0.750 0.750 0.785
S3 0.750 0.250 0.785
S4 0.750 0.750 0.215
S5 0.250 0.250 0.785
S6 0.250 0.750 0.215
S7 0.250 0.250 0.215
S8 0.750 0.250 0.215

Energy above the most stable polymorph in this dataset   0.138 eV/atom
E   -6.13 eV per atom
Raw formation energy   -1213 meV per atom